No. 1
First-principles (meta-GGA SCAN) data for a PBEsol-optimized structure of La2Mn3Cu9As7, as listed in Alexandria via LeMat-Bulk.

Computed properties:
DOS(E_F), states/eV per cell: 4.62
E_form, eV per atom: -0.49
Uncorrected energy, eV per atom: -20.45

a b c (Å): 3.984 9.716 9.716
angles (deg): 120.00 90.00 90.00
Fractional coordinates of all 21 atoms:
La 0.000 0.000 0.000
La 0.500 0.333 0.667
Mn 0.500 0.573 0.453
Mn 0.500 0.879 0.427
Mn 0.500 0.547 0.121
Cu 0.000 0.614 0.703
Cu 0.000 0.089 0.386
Cu 0.000 0.297 0.911
Cu 0.000 0.385 0.207
Cu 0.000 0.822 0.615
Cu 0.000 0.793 0.178
Cu 0.500 0.250 0.285
Cu 0.500 0.034 0.750
Cu 0.500 0.715 0.966
As 0.000 0.370 0.448
As 0.000 0.078 0.630
As 0.000 0.552 0.922
As 0.500 0.254 0.030
As 0.500 0.776 0.746
As 0.500 0.970 0.224
As 0.000 0.667 0.333

=====

No. 2
First-principles (meta-GGA SCAN) data for a PBEsol-optimized structure of ZnTe2RuI, as listed in Alexandria via LeMat-Bulk.

Computed properties:
DOS(E_F), states/eV per cell: 4.59
ΔE_f (raw), eV per atom: 0.5397
Uncorrected energy, eV per atom: -31.38

a b c (Å): 5.063 5.063 5.572
angles (deg): 90.00 90.00 90.00
Fractional coordinates of all 5 atoms:
I 0.000 0.000 0.500
Ru 0.000 0.000 0.000
Zn 0.500 0.500 0.500
Te 0.000 0.500 0.000
Te 0.500 0.000 0.000

=====

No. 3
First-principles (meta-GGA SCAN) data for a PBEsol-optimized structure of AgHg2Au, as listed in Alexandria via LeMat-Bulk.

Computed properties:
DOS(E_F), states/eV per cell: 1.19
E_form, eV per atom: 0.07
Uncorrected energy, eV per atom: -59.15

a b c (Å): 3.004 4.897 5.615
angles (deg): 105.64 105.51 90.00
Fractional coordinates of all 4 atoms:
Au 0.230 0.793 0.459
Hg 0.982 0.938 0.965
Hg 0.770 0.314 0.539
Ag 0.518 0.455 0.037

=====

No. 4
First-principles (meta-GGA SCAN) data for a PBEsol-optimized structure of BeAgI3, as listed in Alexandria via LeMat-Bulk.

Computed properties:
DOS(E_F), states/eV per cell: 1.76
ΔE_f (raw), eV per atom: 0.1967
Uncorrected energy, eV per atom: -28.99

a b c (Å): 5.223 5.223 5.223
angles (deg): 90.00 90.00 90.00
Fractional coordinates of all 5 atoms:
I 0.000 0.500 0.000
I 0.000 0.000 0.500
I 0.500 0.000 0.000
Be 0.000 0.000 0.000
Ag 0.500 0.500 0.500

=====

No. 5
First-principles (meta-GGA SCAN) data for a PBEsol-optimized structure of Y2Al3Si2, as listed in Alexandria via LeMat-Bulk.

Computed properties:
DOS(E_F), states/eV per cell: 1.89
ΔE_f (raw), eV per atom: -0.5799
Uncorrected energy, eV per atom: -14.72

a b c (Å): 4.020 5.430 6.554
angles (deg): 100.16 90.00 111.73
Fractional coordinates of all 7 atoms:
Y 0.381 0.761 0.177
Y 0.619 0.239 0.823
Si 0.907 0.814 0.860
Si 0.093 0.186 0.140
Al 0.695 0.389 0.367
Al 0.000 0.000 0.500
Al 0.305 0.611 0.633

=====

No. 6
First-principles (meta-GGA SCAN) data for a PBEsol-optimized structure of CsBCl2, as listed in Alexandria via LeMat-Bulk.

Computed properties:
DOS(E_F), states/eV per cell: 0.00
ΔE_f (raw), eV per atom: -0.1357
Uncorrected energy, eV per atom: -15.43

a b c (Å): 5.229 5.229 8.460
angles (deg): 72.00 72.00 60.00
Fractional coordinates of all 4 atoms:
Cs 0.500 0.500 0.500
B 0.000 0.000 0.000
Cl 0.904 0.904 0.287
Cl 0.096 0.096 0.713

=====

No. 7
First-principles (meta-GGA SCAN) data for a PBEsol-optimized structure of KMnO2F, as listed in Alexandria via LeMat-Bulk.

Computed properties:
DOS(E_F), states/eV per cell: 1.23
ΔE_f (raw), eV per atom: -2.1575
Uncorrected energy, eV per atom: -10.67

a b c (Å): 3.697 3.697 4.208
angles (deg): 90.00 90.00 90.00
Fractional coordinates of all 5 atoms:
K 0.500 0.500 0.500
Mn 0.000 0.000 0.000
O 0.000 0.500 0.000
O 0.500 0.000 0.000
F 0.000 0.000 0.500

=====

No. 8
First-principles (meta-GGA SCAN) data for a PBEsol-optimized structure of Na3CrCu, as listed in Alexandria via LeMat-Bulk.

Computed properties:
DOS(E_F), states/eV per cell: 2.23
E_form, eV per atom: 0.68
Uncorrected energy, eV per atom: -8.57

a b c (Å): 5.290 5.290 5.290
angles (deg): 90.00 90.00 90.00
Fractional coordinates of all 5 atoms:
Cr 0.500 0.500 0.500
Cu 0.000 0.000 0.000
Na 0.000 0.500 0.000
Na 0.000 0.000 0.500
Na 0.500 0.000 0.000

=====

No. 9
First-principles (meta-GGA SCAN) data for a PBEsol-optimized structure of LiMgZn, as listed in Alexandria via LeMat-Bulk.

Computed properties:
DOS(E_F), states/eV per cell: 0.96
Distance to the lowest polymorph of the same formula, eV per atom: 0.022
E_form, eV per atom: -0.13
Uncorrected energy, eV per atom: -7.09

a b c (Å): 2.826 4.523 4.523
angles (deg): 120.00 90.00 90.00
Fractional coordinates of all 3 atoms:
Zn 0.267 0.667 0.333
Mg 0.676 0.333 0.667
Li 0.057 0.000 0.000

=====

No. 10
First-principles (meta-GGA SCAN) data for a PBEsol-optimized structure of Al2PdPt2, as listed in Alexandria via LeMat-Bulk.

Computed properties:
DOS(E_F), states/eV per cell: 2.89
E_form, eV per atom: -1.06
Uncorrected energy, eV per atom: -38.79

a b c (Å): 2.785 7.284 7.284
angles (deg): 90.00 90.00 90.00
Fractional coordinates of all 10 atoms:
Pt 0.000 0.363 0.863
Pt 0.000 0.863 0.637
Pt 0.000 0.637 0.137
Pt 0.000 0.137 0.363
Pd 0.000 0.000 0.000
Pd 0.000 0.500 0.500
Al 0.500 0.162 0.662
Al 0.500 0.662 0.838
Al 0.500 0.838 0.338
Al 0.500 0.338 0.162

=====

No. 11
First-principles (meta-GGA SCAN) data for a PBEsol-optimized structure of CaZrCrRh2, as listed in Alexandria via LeMat-Bulk.

Computed properties:
DOS(E_F), states/eV per cell: 2.00
E_form, eV per atom: 1.08
Uncorrected energy, eV per atom: -24.17

a b c (Å): 4.484 4.640 4.640
angles (deg): 90.00 90.00 90.00
Fractional coordinates of all 5 atoms:
Cr 0.500 0.000 0.000
Ca 0.000 0.000 0.000
Rh 0.000 0.000 0.500
Rh 0.000 0.500 0.000
Zr 0.500 0.500 0.500

=====

No. 12
First-principles (meta-GGA SCAN) data for a PBEsol-optimized structure of TiNbMo2Os, as listed in Alexandria via LeMat-Bulk.

Computed properties:
DOS(E_F), states/eV per cell: 4.76
E_form, eV per atom: 1.30
Uncorrected energy, eV per atom: -36.86

a b c (Å): 4.424 4.424 4.496
angles (deg): 90.00 90.00 90.00
Fractional coordinates of all 5 atoms:
Mo 0.000 0.500 0.000
Mo 0.500 0.000 0.000
Os 0.000 0.000 0.500
Nb 0.500 0.500 0.500
Ti 0.000 0.000 0.000

=====

No. 13
First-principles (meta-GGA SCAN) data for a PBEsol-optimized structure of MnTeCl2, as listed in Alexandria via LeMat-Bulk.

Computed properties:
DOS(E_F), states/eV per cell: 1.59
Distance to the lowest polymorph of the same formula, eV per atom: 0.384
ΔE_f (raw), eV per atom: -0.0622
Uncorrected energy, eV per atom: -17.93

a b c (Å): 3.186 5.289 5.289
angles (deg): 108.92 90.00 90.00
Fractional coordinates of all 4 atoms:
Te 0.500 0.500 0.500
Mn 0.500 0.000 0.000
Cl 0.000 0.500 0.000
Cl 0.000 0.000 0.500

=====

No. 14
First-principles (meta-GGA SCAN) data for a PBEsol-optimized structure of NbGeO3, as listed in Alexandria via LeMat-Bulk.

Computed properties:
DOS(E_F), states/eV per cell: 2.25
ΔE_f (raw), eV per atom: -1.6884
Uncorrected energy, eV per atom: -15.87

a b c (Å): 4.005 4.005 4.005
angles (deg): 90.00 90.00 90.00
Fractional coordinates of all 5 atoms:
Nb 0.000 0.000 0.000
Ge 0.500 0.500 0.500
O 0.000 0.500 0.000
O 0.000 0.000 0.500
O 0.500 0.000 0.000

=====

No. 15
First-principles (meta-GGA SCAN) data for a PBEsol-optimized structure of Na2YCuP, as listed in Alexandria via LeMat-Bulk.

Computed properties:
DOS(E_F), states/eV per cell: 1.63
E_form, eV per atom: 0.16
Uncorrected energy, eV per atom: -12.21

a b c (Å): 4.677 4.677 5.463
angles (deg): 90.00 90.00 90.00
Fractional coordinates of all 5 atoms:
Y 0.000 0.000 0.500
P 0.500 0.500 0.500
Cu 0.000 0.000 0.000
Na 0.000 0.500 0.000
Na 0.500 0.000 0.000

=====

No. 16
First-principles (meta-GGA SCAN) data for a PBEsol-optimized structure of Li2CrCu, as listed in Alexandria via LeMat-Bulk.

Computed properties:
DOS(E_F), states/eV per cell: 1.41
E_form, eV per atom: 0.18
Uncorrected energy, eV per atom: -9.41

a b c (Å): 4.287 4.288 4.287
angles (deg): 60.01 90.00 119.99
Fractional coordinates of all 4 atoms:
Cr 0.500 0.000 0.500
Cu 0.750 0.500 0.750
Li 0.000 0.000 0.000
Li 0.250 0.500 0.250

=====

No. 17
First-principles (meta-GGA SCAN) data for a PBEsol-optimized structure of ZnInTe2, as listed in Alexandria via LeMat-Bulk.

Computed properties:
DOS(E_F), states/eV per cell: 0.63
ΔE_f (raw), eV per atom: -0.2160
Uncorrected energy, eV per atom: -30.57

a b c (Å): 4.186 4.185 5.928
angles (deg): 90.00 90.00 90.11
Fractional coordinates of all 4 atoms:
In 0.122 0.878 0.500
Te 0.122 0.878 0.000
Te 0.621 0.378 0.500
Zn 0.635 0.365 0.000

=====

No. 18
First-principles (meta-GGA SCAN) data for a PBEsol-optimized structure of LaIrF2, as listed in Alexandria via LeMat-Bulk.

Computed properties:
DOS(E_F), states/eV per cell: 3.84
Distance to the lowest polymorph of the same formula, eV per atom: 0.319
ΔE_f (raw), eV per atom: -1.5391
Uncorrected energy, eV per atom: -31.86

a b c (Å): 4.443 4.443 4.443
angles (deg): 60.00 60.00 60.00
Fractional coordinates of all 4 atoms:
F 0.250 0.250 0.250
F 0.750 0.750 0.750
Ir 0.500 0.500 0.500
La 0.000 0.000 0.000

=====

No. 19
First-principles (meta-GGA SCAN) data for a PBEsol-optimized structure of LaCrCo2, as listed in Alexandria via LeMat-Bulk.

Computed properties:
DOS(E_F), states/eV per cell: 3.45
E_form, eV per atom: 0.49
Uncorrected energy, eV per atom: -23.53

a b c (Å): 3.066 3.994 5.355
angles (deg): 90.00 103.11 90.00
Fractional coordinates of all 4 atoms:
Co 0.878 0.000 0.046
Co 0.854 0.500 0.311
Cr 0.495 0.000 0.346
La 0.274 0.500 0.798

=====

No. 20
First-principles (meta-GGA SCAN) data for a PBEsol-optimized structure of KBC4O8, as listed in Alexandria via LeMat-Bulk.

Computed properties:
DOS(E_F), states/eV per cell: 0.00
ΔE_f (raw), eV per atom: -1.5488
Uncorrected energy, eV per atom: -9.12

a b c (Å): 6.860 6.860 8.228
angles (deg): 90.00 90.00 106.32
Fractional coordinates of all 28 atoms:
K 0.929 0.071 0.750
K 0.071 0.929 0.250
B 0.572 0.428 0.250
B 0.428 0.572 0.750
C 0.769 0.231 0.157
C 0.718 0.468 0.750
C 0.282 0.532 0.250
C 0.532 0.282 0.750
C 0.231 0.769 0.657
C 0.468 0.718 0.250
C 0.769 0.231 0.343
C 0.231 0.769 0.843
O 0.653 0.347 0.107
O 0.858 0.142 0.070
O 0.142 0.858 0.930
O 0.347 0.653 0.893
O 0.894 0.463 0.750
O 0.634 0.653 0.250
O 0.347 0.653 0.607
O 0.463 0.894 0.250
O 0.142 0.858 0.570
O 0.366 0.347 0.750
O 0.106 0.537 0.250
O 0.537 0.106 0.750
O 0.653 0.634 0.750
O 0.347 0.366 0.250
O 0.858 0.142 0.430
O 0.653 0.347 0.393

=====

No. 21
First-principles (meta-GGA SCAN) data for a PBEsol-optimized structure of ZrGe3Pt, as listed in Alexandria via LeMat-Bulk.

Computed properties:
DOS(E_F), states/eV per cell: 5.69
E_form, eV per atom: 0.43
Uncorrected energy, eV per atom: -31.20

a b c (Å): 4.785 4.785 4.785
angles (deg): 90.00 90.00 90.00
Fractional coordinates of all 5 atoms:
Ge 0.000 0.500 0.000
Ge 0.000 0.000 0.500
Ge 0.500 0.000 0.000
Zr 0.500 0.500 0.500
Pt 0.000 0.000 0.000

=====

No. 22
First-principles (meta-GGA SCAN) data for a PBEsol-optimized structure of Lu2GaOs, as listed in Alexandria via LeMat-Bulk.

Computed properties:
DOS(E_F), states/eV per cell: 1.73
E_form, eV per atom: -0.60
Uncorrected energy, eV per atom: -50.33

a b c (Å): 4.747 4.747 4.747
angles (deg): 60.00 60.00 60.00
Fractional coordinates of all 4 atoms:
Lu 0.250 0.250 0.250
Lu 0.750 0.750 0.750
Os 0.500 0.500 0.500
Ga 0.000 0.000 0.000

=====

No. 23
First-principles (meta-GGA SCAN) data for a PBEsol-optimized structure of AlZnW, as listed in Alexandria via LeMat-Bulk.

Computed properties:
DOS(E_F), states/eV per cell: 1.56
E_form, eV per atom: 0.17
Uncorrected energy, eV per atom: -30.15

a b c (Å): 2.694 2.694 6.434
angles (deg): 102.09 102.09 90.00
Fractional coordinates of all 3 atoms:
Zn 0.334 0.334 0.668
Al 0.000 0.000 0.000
W 0.666 0.666 0.332

=====

No. 24
First-principles (meta-GGA SCAN) data for a PBEsol-optimized structure of TlTc2Te, as listed in Alexandria via LeMat-Bulk.

Computed properties:
DOS(E_F), states/eV per cell: 4.43
Distance to the lowest polymorph of the same formula, eV per atom: 0.418
ΔE_f (raw), eV per atom: 0.9738
Uncorrected energy, eV per atom: -43.96

a b c (Å): 3.325 4.263 5.204
angles (deg): 90.00 90.00 90.00
Fractional coordinates of all 4 atoms:
Tc 0.000 0.000 0.000
Tc 0.500 0.000 0.500
Te 0.500 0.500 0.000
Tl 0.000 0.500 0.500

=====

No. 25
First-principles (meta-GGA SCAN) data for a PBEsol-optimized structure of MnAsPb3, as listed in Alexandria via LeMat-Bulk.

Computed properties:
DOS(E_F), states/eV per cell: 2.47
E_form, eV per atom: 0.37
Uncorrected energy, eV per atom: -52.79

a b c (Å): 5.065 5.065 5.065
angles (deg): 90.00 90.00 90.00
Fractional coordinates of all 5 atoms:
Pb 0.000 0.500 0.000
Pb 0.000 0.000 0.500
Pb 0.500 0.000 0.000
As 0.500 0.500 0.500
Mn 0.000 0.000 0.000

=====

No. 26
First-principles (meta-GGA SCAN) data for a PBEsol-optimized structure of CaCr2P, as listed in Alexandria via LeMat-Bulk.

Computed properties:
DOS(E_F), states/eV per cell: 0.57
E_form, eV per atom: -0.08
Uncorrected energy, eV per atom: -14.29

a b c (Å): 4.498 4.498 4.498
angles (deg): 60.00 60.00 60.00
Fractional coordinates of all 4 atoms:
Ca 0.500 0.500 0.500
Cr 0.000 0.000 0.000
Cr 0.250 0.250 0.250
P 0.750 0.750 0.750

=====

No. 27
First-principles (meta-GGA SCAN) data for a PBEsol-optimized structure of Ca2SiIr, as listed in Alexandria via LeMat-Bulk.

Computed properties:
DOS(E_F), states/eV per cell: 3.20
ΔE_f (raw), eV per atom: -0.6925
Uncorrected energy, eV per atom: -25.80

a b c (Å): 4.087 4.087 7.889
angles (deg): 74.99 74.99 60.00
Fractional coordinates of all 4 atoms:
Ca 0.960 0.960 0.120
Ca 0.789 0.789 0.634
Ir 0.541 0.541 0.376
Si 0.208 0.208 0.377